Entry 1:
NdSmAgSn, relaxed, DFT PBE; formation energy = -2.09 eV per formula unit; crystal system = cubic
1.0
-3.0977 3.9461 -1.9205
-4.5216 -1.1821 -2.6482
-4.7723 1.0056 2.2514
Nd Sn Sm Ag
1 1 1 1
Cartesian
-3.0979 0.9424 -0.5794 Nd
-6.1958 1.8848 -1.1587 Sn
-9.2937 2.8272 -1.7381 Sm
0.0000 0.0000 0.0000 Ag

Entry 2:
LiLaGa2H, relaxed, DFT PBE; electronic total energy = -17.39 eV for the cell shown; crystal system = tetragonal
1.0
-3.0720 1.7224 2.8745
0.2443 -3.7867 2.5301
3.3422 1.8582 2.4584
Ga Li La H
2 1 1 1
Cartesian
-1.5360 0.8612 1.4372 Ga
1.6711 0.9291 1.2292 Ga
0.2572 -0.1030 3.9315 Li
0.1222 -1.8933 1.2651 La
0.0000 0.0000 0.0000 H

Question: Which formula does entry 2 have?
Answer: LiLaGa2H